#one
# MnW4, relaxed, DFT PBE-GGA
data_MnW4
_cell_length_a 5.182
_cell_length_b 5.182
_cell_length_c 5.182
_cell_angle_alpha 95.31
_cell_angle_beta 95.31
_cell_angle_gamma 144.57
_symmetry_space_group_name_H-M 'P 1'
_symmetry_Int_Tables_number 1
_symmetry_space_group_name_Hall 'P 1'
loop_
_atom_site_label
_atom_site_type_symbol
_atom_site_fract_x
_atom_site_fract_y
_atom_site_fract_z
_atom_site_occupancy
Mn1 Mn 0.000 0.000 0.000 1
W1 W 0.203 0.400 0.603 1
W2 W 0.400 0.797 0.198 1
W3 W 0.600 0.203 0.802 1
W4 W 0.797 0.600 0.397 1
# Symmetry = I4/m

#two
# MnW4, relaxed, DFT PBE-GGA
data_MnW4
_cell_length_a 6.317
_cell_length_b 6.317
_cell_length_c 6.317
_cell_angle_alpha 141.31
_cell_angle_beta 141.31
_cell_angle_gamma 55.87
_symmetry_space_group_name_H-M 'P 1'
_symmetry_Int_Tables_number 1
_symmetry_space_group_name_Hall 'P 1'
loop_
_atom_site_label
_atom_site_type_symbol
_atom_site_fract_x
_atom_site_fract_y
_atom_site_fract_z
_atom_site_occupancy
Mn1 Mn 0.000 0.000 0.000 1
W1 W 0.250 0.750 0.500 1
W2 W 0.384 0.384 0.000 1
W3 W 0.616 0.616 0.000 1
W4 W 0.750 0.250 0.500 1
# Symmetry = I4/mmm

#three
# MnW4, relaxed, DFT PBE-GGA
data_MnW4
_cell_length_a 4.868
_cell_length_b 4.868
_cell_length_c 4.868
_cell_angle_alpha 109.47
_cell_angle_beta 109.47
_cell_angle_gamma 109.47
_symmetry_space_group_name_H-M 'P 1'
_symmetry_Int_Tables_number 1
_symmetry_space_group_name_Hall 'P 1'
loop_
_atom_site_label
_atom_site_type_symbol
_atom_site_fract_x
_atom_site_fract_y
_atom_site_fract_z
_atom_site_occupancy
Mn1 Mn 0.000 0.000 0.000 1
W1 W 0.000 0.000 0.500 1
W2 W 0.000 0.500 0.000 1
W3 W 0.500 0.000 0.000 1
W4 W 0.500 0.500 0.500 1
# Symmetry = Im-3m

Most stable structure among those shown: #one. Next: +1.007 eV/atom.